(1)
First-principles (PBE+U) data for Ac2CrPbO8 after structural relaxation, as listed in Alexandria.

```
Ac2CrPbO8
1.0
5.4811 0.0000 0.0000
-2.7405 4.7468 0.0000
0.0000 0.0000 6.9324
Ac Cr Pb O
2 1 1 8
Direct
0.3333 0.6667 0.3484
0.6667 0.3333 0.6516
0.0000 0.0000 0.5000
0.0000 0.0000 0.0000
0.1582 0.3164 0.6532
0.1582 0.8418 0.6532
0.3164 0.1582 0.3468
0.3333 0.6667 0.0288
0.6667 0.3333 0.9712
0.6836 0.8418 0.6532
0.8418 0.1582 0.3468
0.8418 0.6836 0.3468
```

Properties
Fermi-level density of states	3.3	states/eV per cell
total energy	-6.54	eV per atom
crystal system	trigonal

(2)
First-principles (PBE+U) data for AcCr2PdO8 after structural relaxation, as listed in Alexandria.

```
AcCr2PdO8
1.0
5.5824 0.0000 0.0000
-2.7912 4.8345 0.0000
0.0000 0.0000 7.1525
Ac Cr Pd O
1 2 1 8
Direct
0.0000 0.0000 0.0000
0.3333 0.6667 0.2169
0.6667 0.3333 0.7831
0.0000 0.0000 0.5000
0.1665 0.3329 0.2849
0.1665 0.8335 0.2849
0.3329 0.1665 0.7151
0.3333 0.6667 0.9843
0.6667 0.3333 0.0157
0.6671 0.8335 0.2849
0.8335 0.1665 0.7151
0.8335 0.6671 0.7151
```

Properties
Fermi-level density of states	5.9	states/eV per cell
total energy	-6.85	eV per atom
crystal system	trigonal

(3)
First-principles (PBE+U) data for AcCrPdO6 after structural relaxation, as listed in Alexandria.

```
AcCrPdO6
1.0
5.1993 0.0000 0.0000
-2.5997 4.5027 0.0000
0.0000 0.0000 10.6184
Ac Cr Pd O
2 2 2 12
Direct
0.0000 0.0000 0.0000
0.0000 0.0000 0.5000
0.3333 0.6667 0.2500
0.6667 0.3333 0.7500
0.3333 0.6667 0.7500
0.6667 0.3333 0.2500
0.0158 0.3894 0.1474
0.0158 0.6263 0.3526
0.3737 0.3894 0.3526
0.3737 0.9842 0.1474
0.3894 0.0158 0.6474
0.3894 0.3737 0.8526
0.6106 0.6263 0.1474
0.6106 0.9842 0.3526
0.6263 0.0158 0.8526
0.6263 0.6106 0.6474
0.9842 0.3737 0.6474
0.9842 0.6106 0.8526
```

Properties
total energy	-6.78	eV per atom
crystal system	trigonal

(4)
First-principles (PBE+U) data for AcCr4Pd3O12 after structural relaxation, as listed in Alexandria.

```
AcCr4Pd3O12
1.0
-3.8149 3.8149 3.8149
3.8149 -3.8149 3.8149
3.8149 3.8149 -3.8149
Ac Cr Pd O
1 4 3 12
Direct
0.0000 0.0000 0.0000
0.0000 0.0000 0.5000
0.0000 0.5000 0.0000
0.5000 0.0000 0.0000
0.5000 0.5000 0.5000
0.0000 0.5000 0.5000
0.5000 0.0000 0.5000
0.5000 0.5000 0.0000
0.1244 0.3038 0.8206
0.1794 0.4832 0.3038
0.1794 0.8756 0.6962
0.3038 0.1794 0.4832
0.3038 0.8206 0.1244
0.4832 0.3038 0.1794
0.5168 0.6962 0.8206
0.6962 0.1794 0.8756
0.6962 0.8206 0.5168
0.8206 0.1244 0.3038
0.8206 0.5168 0.6962
0.8756 0.6962 0.1794
```

Properties
Fermi-level density of states	10.3	states/eV per cell
total energy	-6.99	eV per atom
crystal system	cubic

(5)
First-principles (PBE+U) data for Ac2CrPdO6 after structural relaxation, as listed in Alexandria.

```
Ac2CrPdO6
1.0
5.6947 0.0000 0.0000
0.0000 5.6947 0.0000
0.0000 0.0000 4.0740
Ac Cr Pd O
2 1 1 6
Direct
0.0000 0.5000 0.0000
0.5000 0.0000 0.0000
0.0000 0.0000 0.5016
0.5000 0.5000 0.5021
0.0000 0.0000 0.0022
0.2461 0.2461 0.5036
0.2461 0.7539 0.5036
0.5000 0.5000 0.0022
0.7539 0.2461 0.5036
0.7539 0.7539 0.5036
```

Properties
Fermi-level density of states	1.9	states/eV per cell
total energy	-7.31	eV per atom
crystal system	tetragonal

(6)
First-principles (PBE+U) data for AcPmCrO6 after structural relaxation, as listed in Alexandria.

```
AcPmCrO6
1.0
5.5604 0.0000 0.0000
-2.7802 4.8155 0.0000
0.0000 0.0000 5.1738
Ac Pm Cr O
1 1 1 6
Direct
0.0000 0.0000 0.0000
0.3333 0.6667 0.5000
0.6667 0.3333 0.5000
0.3916 0.0595 0.7077
0.3916 0.3321 0.2923
0.6679 0.0595 0.2923
0.6679 0.6084 0.7077
0.9405 0.3321 0.7077
0.9405 0.6084 0.2923
```

Properties
total energy	-7.37	eV per atom
crystal system	trigonal

(7)
First-principles (PBE+U) data for AcPrCr2O8 after structural relaxation, as listed in Alexandria.

```
AcPrCr2O8
1.0
-3.7824 3.7824 3.3036
3.7824 -3.7824 3.3036
3.7824 3.7824 -3.3036
Ac Pr Cr O
1 1 2 8
Direct
0.0000 0.0000 0.0000
0.7500 0.2500 0.5000
0.2500 0.7500 0.5000
0.5000 0.5000 0.0000
0.0773 0.4057 0.3284
0.0773 0.7489 0.6716
0.1570 0.3342 0.8228
0.2511 0.9227 0.3284
0.5114 0.3342 0.1772
0.5943 0.9227 0.6716
0.6658 0.4886 0.8228
0.6658 0.8430 0.1772
```

Properties
total energy	-7.60	eV per atom
crystal system	tetragonal

(8)
First-principles (PBE+U) data for Ac2CrPtO6 after structural relaxation, as listed in Alexandria.

```
Ac2CrPtO6
1.0
5.7214 0.0000 0.0000
0.0000 5.7214 0.0000
0.0000 0.0000 4.1009
Ac Cr Pt O
2 1 1 6
Direct
0.0000 0.5000 0.0000
0.5000 0.0000 0.0000
0.0000 0.0000 0.5018
0.5000 0.5000 0.5022
0.0000 0.0000 0.0022
0.2465 0.2465 0.5034
0.2465 0.7535 0.5034
0.5000 0.5000 0.0022
0.7535 0.2465 0.5034
0.7535 0.7535 0.5034
```

Properties
Fermi-level density of states	1.9	states/eV per cell
total energy	-7.35	eV per atom
crystal system	tetragonal

(9)
First-principles (PBE+U) data for Ac2CrPtO8 after structural relaxation, as listed in Alexandria.

```
Ac2CrPtO8
1.0
5.2713 0.0000 0.0000
1.4994 5.9168 0.0000
2.3616 0.9535 5.7742
Ac Cr Pt O
2 1 1 8
Direct
0.1271 0.1866 0.1580
0.8729 0.8134 0.8420
0.5000 0.5000 0.5000
0.5000 0.0000 0.5000
0.2699 0.8092 0.4409
0.2755 0.4773 0.7969
0.2885 0.3149 0.4420
0.2960 0.9555 0.8430
0.7040 0.0445 0.1570
0.7115 0.6851 0.5580
0.7245 0.5227 0.2031
0.7301 0.1908 0.5591
```

Properties
Fermi-level density of states	3.9	states/eV per cell
total energy	-7.04	eV per atom
crystal system	triclinic

(10)
First-principles (PBE+U) data for AcCr4Pt3O12 after structural relaxation, as listed in Alexandria.

```
AcCr4Pt3O12
1.0
-3.8318 3.8318 3.8318
3.8318 -3.8318 3.8318
3.8318 3.8318 -3.8318
Ac Cr Pt O
1 4 3 12
Direct
0.0000 0.0000 0.0000
0.0000 0.0000 0.5000
0.0000 0.5000 0.0000
0.5000 0.0000 0.0000
0.5000 0.5000 0.5000
0.0000 0.5000 0.5000
0.5000 0.0000 0.5000
0.5000 0.5000 0.0000
0.1292 0.3047 0.8245
0.1755 0.4802 0.3047
0.1755 0.8708 0.6953
0.3047 0.1755 0.4802
0.3047 0.8245 0.1292
0.4802 0.3047 0.1755
0.5198 0.6953 0.8245
0.6953 0.1755 0.8708
0.6953 0.8245 0.5198
0.8245 0.1292 0.3047
0.8245 0.5198 0.6953
0.8708 0.6953 0.1755
```

Properties
Fermi-level density of states	10.5	states/eV per cell
total energy	-7.12	eV per atom
crystal system	cubic

(11)
First-principles (PBE+U) data for AcPuCr2O8 after structural relaxation, as listed in Alexandria.

```
AcPuCr2O8
1.0
5.7261 0.0000 0.0000
-2.8630 4.9589 0.0000
0.0000 0.0000 7.1619
Ac Pu Cr O
1 1 2 8
Direct
0.0000 0.0000 0.0000
0.0000 0.0000 0.5000
0.3333 0.6667 0.2188
0.6667 0.3333 0.7812
0.1597 0.3193 0.2948
0.1597 0.8403 0.2948
0.3193 0.1597 0.7052
0.3333 0.6667 0.9833
0.6667 0.3333 0.0167
0.6807 0.8403 0.2948
0.8403 0.1597 0.7052
0.8403 0.6807 0.7052
```

Properties
Fermi-level density of states	8.0	states/eV per cell
total energy	-8.30	eV per atom
crystal system	trigonal

(12)
First-principles (PBE+U) data for Ac2PuCrO6 after structural relaxation, as listed in Alexandria.

```
Ac2PuCrO6
1.0
0.0000 4.2084 4.2084
4.2084 0.0000 4.2084
4.2084 4.2084 0.0000
Ac Pu Cr O
2 1 1 6
Direct
0.2500 0.2500 0.2500
0.7500 0.7500 0.7500
0.0000 0.0000 0.0000
0.5000 0.5000 0.5000
0.2630 0.2630 0.7370
0.2630 0.7370 0.2630
0.2630 0.7370 0.7370
0.7370 0.2630 0.2630
0.7370 0.2630 0.7370
0.7370 0.7370 0.2630
```

Properties
Fermi-level density of states	8.3	states/eV per cell
total energy	-8.70	eV per atom
crystal system	cubic

(13)
First-principles (PBE+U) data for AcPu2CrO8 after structural relaxation, as listed in Alexandria.

```
AcPu2CrO8
1.0
5.0186 0.0000 0.0000
0.0000 7.0310 0.0000
-0.2437 0.0000 5.0211
Ac Pu Cr O
1 2 1 8
Direct
0.0000 0.0000 0.0000
0.5000 0.2646 0.5000
0.5000 0.7354 0.5000
0.0000 0.5000 0.0000
0.1996 0.2885 0.2029
0.1996 0.7115 0.2029
0.3022 0.5000 0.7001
0.3344 0.0000 0.6707
0.6656 0.0000 0.3293
0.6978 0.5000 0.2999
0.8004 0.2885 0.7971
0.8004 0.7115 0.7971
```

Properties
Fermi-level density of states	10.3	states/eV per cell
total energy	-9.32	eV per atom
crystal system	monoclinic

(14)
First-principles (PBE+U) data for AcPuCr2O6 after structural relaxation, as listed in Alexandria.

```
AcPuCr2O6
1.0
3.9544 -3.9378 0.0000
3.9544 3.9378 0.0000
-3.9148 0.0000 3.9703
Ac Pu Cr O
1 1 2 6
Direct
0.0000 0.0000 0.0000
0.4816 0.4816 0.9907
0.2462 0.7466 0.4956
0.7466 0.2462 0.4956
0.0458 0.4657 0.9957
0.0603 0.4590 0.5204
0.4590 0.0603 0.5204
0.4657 0.0458 0.9957
0.5631 0.5631 0.5351
0.9044 0.9044 0.4104
```

Properties
Fermi-level density of states	7.7	states/eV per cell
total energy	-8.89	eV per atom
crystal system	monoclinic

(15)
First-principles (PBE+U) data for Ac2PuCrO8 after structural relaxation, as listed in Alexandria.

```
Ac2PuCrO8
1.0
4.5919 0.0000 0.0000
0.8636 5.3834 0.0000
0.4902 1.0653 7.6912
Ac Pu Cr O
2 1 1 8
Direct
0.0444 0.0555 0.2380
0.9556 0.9445 0.7620
0.5000 0.5000 0.5000
0.5000 0.5000 0.0000
0.1136 0.7106 0.5059
0.1786 0.7529 0.0322
0.3971 0.2211 0.6594
0.4562 0.3371 0.2460
0.5438 0.6629 0.7540
0.6029 0.7789 0.3406
0.8214 0.2471 0.9678
0.8864 0.2894 0.4941
```

Properties
total energy	-8.41	eV per atom
crystal system	triclinic

(16)
First-principles (PBE+U) data for Rb3Ac3CrO8 after structural relaxation, as listed in Alexandria.

```
Rb3Ac3CrO8
1.0
6.3993 -3.6456 0.0000
6.3993 3.6456 0.0000
-4.2026 0.0000 6.6495
Rb Ac Cr O
3 3 1 8
Direct
0.0000 0.0000 0.0000
0.0000 0.5000 0.0000
0.5000 0.0000 0.0000
0.0000 0.5000 0.5000
0.5000 0.0000 0.5000
0.5000 0.5000 0.5000
0.0000 0.0000 0.5000
0.1908 0.7805 0.6607
0.2000 0.2000 0.6658
0.2195 0.8092 0.3393
0.2717 0.2717 0.3094
0.7283 0.7283 0.6906
0.7805 0.1908 0.6607
0.8000 0.8000 0.3342
0.8092 0.2195 0.3393
```

Properties
total energy	-6.42	eV per atom
crystal system	monoclinic

(17)
First-principles (PBE+U) data for RbAcCrO5 after structural relaxation, as listed in Alexandria.

```
RbAcCrO5
1.0
4.0355 -5.2827 0.0000
4.0355 5.2827 0.0000
-3.4608 0.0000 7.8443
Rb Ac Cr O
2 2 2 10
Direct
0.1673 0.8327 0.7500
0.8327 0.1673 0.2500
0.5000 0.5000 0.0000
0.5000 0.5000 0.5000
0.1807 0.8193 0.2500
0.8193 0.1807 0.7500
0.0748 0.2493 0.8837
0.1890 0.6439 0.3608
0.2493 0.0748 0.3837
0.3561 0.8110 0.1392
0.4205 0.5795 0.7500
0.5795 0.4205 0.2500
0.6439 0.1890 0.8608
0.7507 0.9252 0.6163
0.8110 0.3561 0.6392
0.9252 0.7507 0.1163
```

Properties
Fermi-level density of states	2.5	states/eV per cell
total energy	-6.72	eV per atom
crystal system	monoclinic

(18)
First-principles (PBE+U) data for Rb2AcCr2O6 after structural relaxation, as listed in Alexandria.

```
Rb2AcCr2O6
1.0
3.1786 1.8352 6.6305
-3.1786 1.8352 6.6305
0.0000 -3.6704 6.6305
Rb Ac Cr O
2 1 2 6
Direct
0.2028 0.2028 0.2028
0.7972 0.7972 0.7972
0.0000 0.0000 0.0000
0.4128 0.4128 0.4128
0.5872 0.5872 0.5872
0.2533 0.2533 0.7361
0.2533 0.7361 0.2533
0.2639 0.7467 0.7467
0.7361 0.2533 0.2533
0.7467 0.2639 0.7467
0.7467 0.7467 0.2639
```

Properties
Fermi-level density of states	8.2	states/eV per cell
total energy	-6.51	eV per atom
crystal system	trigonal

(19)
First-principles (PBE+U) data for Rb2AcCrO6 after structural relaxation, as listed in Alexandria.

```
Rb2AcCrO6
1.0
6.4660 0.0000 0.0000
-3.2330 5.5997 0.0000
0.0000 0.0000 6.1317
Rb Ac Cr O
2 1 1 6
Direct
0.3333 0.6667 0.4072
0.6667 0.3333 0.5928
0.0000 0.0000 0.0000
0.0000 0.0000 0.5000
0.1322 0.2644 0.6830
0.1322 0.8678 0.6830
0.2644 0.1322 0.3170
0.7356 0.8678 0.6830
0.8678 0.1322 0.3170
0.8678 0.7356 0.3170
```

Properties
Fermi-level density of states	3.1	states/eV per cell
total energy	-5.91	eV per atom
crystal system	trigonal

(20)
First-principles (PBE+U) data for Rb3AcCr2O8 after structural relaxation, as listed in Alexandria.

```
Rb3AcCr2O8
1.0
6.2674 0.0000 0.0000
-3.1337 5.4277 0.0000
0.0000 0.0000 8.1787
Rb Ac Cr O
3 1 2 8
Direct
0.0000 0.0000 0.0000
0.3333 0.6667 0.7038
0.6667 0.3333 0.2962
0.0000 0.0000 0.5000
0.3333 0.6667 0.2422
0.6667 0.3333 0.7578
0.1822 0.3645 0.3186
0.1822 0.8178 0.3186
0.3333 0.6667 0.0380
0.3645 0.1822 0.6814
0.6355 0.8178 0.3186
0.6667 0.3333 0.9620
0.8178 0.1822 0.6814
0.8178 0.6355 0.6814
```

Properties
Fermi-level density of states	9.3	states/eV per cell
total energy	-6.32	eV per atom
crystal system	trigonal